Ho3RuPt | PBE | optimized geometry

energy relative to the elements: -0.7104 eV per atom
excess energy over the best structure of this formula in the dataset: 0.000 eV/atom
calculated total energy: -0.479 Ry per atom

Cell: 7.972 7.296 8.535 Å, 90.00 71.95 90.00°
Positions (direct):
Ho1 0.521 0.692 0.859
Ho2 0.021 0.808 0.859
Pt1 0.300 0.962 0.092
Pt2 0.800 0.538 0.092
Ho3 0.714 0.497 0.458
Ho4 0.479 0.308 0.141
Ho5 0.286 0.503 0.542
Ho6 0.601 0.849 0.224
Ho7 0.214 0.003 0.458
Ho8 0.979 0.192 0.141
Ru1 0.960 0.683 0.580
Ho9 0.101 0.651 0.224
Ho10 0.899 0.349 0.776
Pt3 0.200 0.462 0.908
Ru2 0.040 0.317 0.420
Ru3 0.460 0.817 0.580
Ho11 0.399 0.151 0.776
Ru4 0.540 0.183 0.420
Ho12 0.786 0.997 0.542
Pt4 0.700 0.038 0.908

---

Ho4RuPt | PBE | optimized geometry

energy relative to the elements: -0.6645 eV per atom
excess energy over the best structure of this formula in the dataset: 0.000 eV/atom
calculated total energy: -0.461 Ry per atom

Cell: 6.303 7.531 7.862 Å, 114.12 108.47 100.10°
Positions (direct):
Pt1 0.614 0.364 0.727
Ru1 0.252 0.002 0.004
Ho1 0.646 0.049 0.352
Ho2 0.795 0.698 0.648
Ho3 0.364 0.637 0.874
Ho4 0.636 0.363 0.126
Ho5 0.009 0.236 0.874
Ru2 0.748 0.998 0.996
Ho6 0.205 0.302 0.352
Pt2 0.386 0.636 0.273
Ho7 0.354 0.951 0.648
Ho8 0.991 0.764 0.126

---

Ho8Ru2Pt | PBE | optimized geometry

energy relative to the elements: -0.4346 eV per atom
excess energy over the best structure of this formula in the dataset: 0.000 eV/atom
calculated total energy: -0.441 Ry per atom

Cell: 4.849 6.839 9.023 Å, 106.67 105.59 90.00°
Positions (direct):
Ho1 0.032 0.786 0.065
Ru1 0.814 0.297 0.629
Ho2 0.205 0.316 0.410
Ho3 0.795 0.684 0.590
Ho4 0.331 0.034 0.661
Ho5 0.596 0.456 0.193
Ho6 0.669 0.966 0.339
Ho7 0.968 0.214 0.935
Pt1 0.500 0.000 0.000
Ru2 0.186 0.703 0.371
Ho8 0.404 0.544 0.807

---

Ho6Ru2Pt | PBE | optimized geometry

energy relative to the elements: -0.5291 eV per atom
excess energy over the best structure of this formula in the dataset: 0.000 eV/atom
calculated total energy: -0.464 Ry per atom

Cell: 8.273 8.273 8.273 Å, 106.11 111.04 111.32°
Positions (direct):
Ho1 0.810 0.747 0.557
Ru1 0.500 0.624 0.124
Ho2 0.810 0.253 0.064
Ho3 0.313 0.644 0.331
Ho4 0.911 0.733 0.178
Ho5 0.190 0.253 0.443
Pt1 0.000 0.500 0.500
Ho6 0.190 0.747 0.936
Ru2 0.672 0.000 0.672
Ru3 0.500 0.376 0.876
Ru4 0.328 0.000 0.328
Ho7 0.687 0.356 0.669
Ho8 0.089 0.267 0.822
Ho9 0.445 0.267 0.178
Ho10 0.687 0.018 0.331
Pt2 0.000 0.000 0.000
Ho11 0.313 0.982 0.669
Ho12 0.555 0.733 0.822

---

Ho4RuPt | PBE | optimized geometry

energy relative to the elements: -0.5932 eV per atom
excess energy over the best structure of this formula in the dataset: 0.071 eV/atom
calculated total energy: -0.456 Ry per atom

Cell: 6.828 6.828 6.859 Å, 90.00 91.43 90.00°
Positions (direct):
Ru1 0.000 0.500 0.500
Ho1 0.827 0.166 0.339
Ho2 0.658 0.165 0.828
Ho3 0.842 0.665 0.172
Pt1 0.000 0.000 0.000
Pt2 0.500 0.500 0.000
Ho4 0.673 0.666 0.661
Ru2 0.500 0.000 0.500
Ho5 0.158 0.335 0.828
Ho6 0.342 0.835 0.172
Ho7 0.327 0.334 0.339
Ho8 0.173 0.834 0.661

---

Ho8RuPt2 | PBE | optimized geometry

energy relative to the elements: -0.5959 eV per atom
excess energy over the best structure of this formula in the dataset: 0.000 eV/atom
calculated total energy: -0.431 Ry per atom

Cell: 4.984 6.770 8.916 Å, 105.82 106.23 90.00°
Positions (direct):
Ho1 0.969 0.208 0.938
Ho2 0.031 0.792 0.062
Ho3 0.665 0.965 0.330
Ho4 0.593 0.443 0.185
Ru1 0.500 0.000 0.000
Ho5 0.335 0.035 0.670
Ho6 0.798 0.690 0.596
Ho7 0.202 0.310 0.404
Pt1 0.188 0.710 0.376
Ho8 0.407 0.557 0.815
Pt2 0.812 0.290 0.624

---

What is the formula in the fifth record?
Ho4RuPt